An optimized crystal structure of Pm2TePd, computed with PBE.

Output
ΔE to the lowest computed polymorph = 0 meV/atom
size of the total moment = 0.00 μB per formula unit
DOS at the Fermi energy = 0.726 states/eV per atom
VASP energy = -0.4062 Ry/atom
energy relative to the elements, uncorrected = -1.068 eV/atom
symmetry = Cmcm, No. 63

Cell lengths 4.6444, 4.1049, 11.9300 Å; angles 99.91, 90.00, 90.00 degrees
Closest atoms and distances in Å follow each position.
Positions (direct):
1 Pm 0.7500 0.6690 0.3380  1 Pd 3.05, 5 Te 3.15-3.24
2 Pm 0.7500 0.9418 0.8835  6 Pd 3.08-3.13, 1 Te 3.18
3 Pm 0.2500 0.0582 0.1165  6 Pd 3.08-3.13, 1 Te 3.18
4 Pm 0.2500 0.3310 0.6620  1 Pd 3.05, 5 Te 3.15-3.24
5 Te 0.7500 0.8067 0.6133  6 Pm 3.15-3.24
6 Te 0.2500 0.1933 0.3867  6 Pm 3.15-3.24
7 Pd 0.7500 0.5392 0.0784  2 Pd 2.96, 7 Pm 3.05-3.13
8 Pd 0.2500 0.4608 0.9216  2 Pd 2.96, 7 Pm 3.05-3.13